## CaScSnHg (PBE)

Data for an optimized crystal structure of CaScSnHg.

```
CaScSnHg
1.0
-4.2252 -2.1321 -2.1609
-1.5468 -4.7514 1.4493
-4.3446 -0.5791 2.8031
Hg Sn Sc Ca
1 1 1 1
Direct
0.7500 0.7500 0.7500 Hg
0.2500 0.2500 0.2500 Sn
0.5000 0.5000 0.5000 Sc
0.0000 0.0000 0.0000 Ca
```

Space-group type ... F-43m (216)

=====

## SrMn2Tl (PBE)

Data for an optimized crystal structure of SrMn2Tl.

```
SrMn2Tl
1.0
9.8800 -0.0038 -0.0022
9.2597 3.4458 -0.0022
9.2597 1.6652 3.0167
Sr Mn Tl
1 2 1
Direct
0.2500 0.2500 0.2500 Sr
0.0094 0.0094 0.0094 Mn
0.4906 0.4906 0.4906 Mn
0.7500 0.7500 0.7500 Tl
```

ΔE to the lowest computed polymorph ... 1.497 eV/f.u.
Space-group type ... R-3m (166)

=====

Computed DFT formation energy, in the same sequence as the records: -11.54, 17.58 kcal/mol of atoms.